Computed, not measured: a geometry-optimized BaSn3Pb3 structure at the PBE level of DFT.

abc: 5.9217 9.3194 9.3194
angles: 120.00 90.00 90.00
With the nearest neighbours (Å) after each atom.
Sites, in units of the cell vectors:
Ba 0.2500 0.6667 0.3333  9 Pb 3.55-3.63, 3 Sn 3.68
Ba 0.7500 0.3333 0.6667  9 Pb 3.55-3.63, 3 Sn 3.68
Sn 0.7500 0.0405 0.8234  6 Sn 3.23-3.50, 4 Pb 3.35-3.60
Sn 0.7500 0.7829 0.9595  6 Sn 3.23-3.50, 4 Pb 3.35-3.60
Sn 0.2500 0.8234 0.7829  6 Sn 3.23-3.50, 4 Pb 3.35-3.60
Sn 0.7500 0.1766 0.2171  6 Sn 3.23-3.50, 4 Pb 3.35-3.60
Sn 0.2500 0.2171 0.0405  6 Sn 3.23-3.50, 4 Pb 3.35-3.60
Sn 0.2500 0.9595 0.1766  6 Sn 3.23-3.50, 4 Pb 3.35-3.60
Pb 0.7500 0.6357 0.5418  4 Sn 3.35-3.60, 3 Ba 3.55-3.63, 4 Pb 3.64-3.71
Pb 0.7500 0.9061 0.3643  4 Sn 3.35-3.60, 3 Ba 3.55-3.63, 4 Pb 3.64-3.71
Pb 0.2500 0.5418 0.9061  4 Sn 3.35-3.60, 3 Ba 3.55-3.63, 4 Pb 3.64-3.71
Pb 0.7500 0.4582 0.0939  4 Sn 3.35-3.60, 3 Ba 3.55-3.63, 4 Pb 3.64-3.71
Pb 0.2500 0.0939 0.6357  4 Sn 3.35-3.60, 3 Ba 3.55-3.63, 4 Pb 3.64-3.71
Pb 0.2500 0.3643 0.4582  4 Sn 3.35-3.60, 3 Ba 3.55-3.63, 4 Pb 3.64-3.71

Symmetry   P6_3/m
E_tot   -51.798 eV/cell


Computed, not measured: a geometry-optimized BaSn3Pb structure at the PBE level of DFT.

abc: 4.7390 4.8627 15.3035
angles: 99.14 90.00 90.00
With the nearest neighbours (Å) after each atom.
Sites, in units of the cell vectors:
Ba 0.2500 0.0768 0.1536  10 Sn 3.70-3.99
Ba 0.7500 0.9232 0.8464  10 Sn 3.70-3.99
Sn 0.2500 0.3722 0.7445  3 Sn 3.02-3.04, 2 Pb 3.26
Sn 0.7500 0.6278 0.2555  3 Sn 3.02-3.04, 2 Pb 3.26
Sn 0.2500 0.4723 0.9446  3 Sn 2.90-3.02
Sn 0.7500 0.5277 0.0554  3 Sn 2.90-3.02
Sn 0.7500 0.3092 0.6184  2 Sn 3.04, 1 Pb 3.30
Sn 0.2500 0.6908 0.3816  2 Sn 3.04, 1 Pb 3.30
Pb 0.2500 0.8002 0.6003  7 Sn 3.26-3.41
Pb 0.7500 0.1998 0.3997  7 Sn 3.26-3.41

Symmetry   Cmcm
E_tot   -38.220 eV/cell


Computed, not measured: a geometry-optimized BaSn2Pb2 structure at the PBE level of DFT.

abc: 5.1338 6.0172 11.6496
angles: 90.43 90.00 90.00
With the nearest neighbours (Å) after each atom.
Sites, in units of the cell vectors:
Ba 0.2500 0.6888 0.2529  5 Sn 3.68-3.90, 5 Pb 3.76-4.10
Ba 0.7500 0.3112 0.7471  5 Sn 3.68-3.90, 5 Pb 3.76-4.10
Sn 0.2500 0.7481 0.6356  5 Pb 3.07-3.37
Sn 0.7500 0.2519 0.3644  5 Pb 3.07-3.37
Sn 0.2500 0.3566 0.9863  2 Sn 3.11, 4 Pb 3.16-3.24
Sn 0.7500 0.6434 0.0137  2 Sn 3.11, 4 Pb 3.16-3.24
Pb 0.2500 0.8629 0.8930  5 Sn 3.07-3.24
Pb 0.7500 0.1371 0.1070  5 Sn 3.07-3.24
Pb 0.2500 0.2377 0.5139  4 Sn 3.10-3.37
Pb 0.7500 0.7623 0.4861  4 Sn 3.10-3.37

Symmetry   P2_1/m
E_tot   -37.296 eV/cell


Computed, not measured: a geometry-optimized Ba8SnPb2 structure at the PBE level of DFT.

abc: 5.9774 8.3506 11.3732
angles: 106.14 105.24 90.00
With the nearest neighbours (Å) after each atom.
Sites, in units of the cell vectors:
Ba 0.4064 0.5641 0.8128  1 Sn 3.63, 2 Pb 3.97
Ba 0.6607 0.9550 0.3213  1 Sn 3.65, 3 Pb 3.68-3.74
Ba 0.7920 0.6915 0.5839  3 Pb 3.55-3.82
Ba 0.9717 0.2118 0.9435  2 Sn 3.62, 1 Pb 3.70
Ba 0.2080 0.3085 0.4161  3 Pb 3.55-3.82
Ba 0.3393 0.0450 0.6787  1 Sn 3.65, 3 Pb 3.68-3.74
Ba 0.5936 0.4359 0.1872  1 Sn 3.63, 2 Pb 3.97
Ba 0.0283 0.7882 0.0565  2 Sn 3.62, 1 Pb 3.70
Sn 0.5000 0.0000 0.0000  8 Ba 3.62-3.65
Pb 0.8134 0.2855 0.6268  9 Ba 3.55-3.97
Pb 0.1866 0.7145 0.3732  9 Ba 3.55-3.97

Symmetry   C2/m
E_tot   -31.147 eV/cell


Computed, not measured: a geometry-optimized Ba3Sn2Pb3 structure at the PBE level of DFT.

abc: 5.3873 6.9586 17.3803
angles: 90.00 90.00 112.77
With the nearest neighbours (Å) after each atom.
Sites, in units of the cell vectors:
Ba 0.9285 0.8569 0.3887  7 Pb 3.67-4.06, 3 Sn 3.70-3.83
Ba 0.0715 0.1431 0.8887  7 Pb 3.67-4.06, 3 Sn 3.70-3.83
Ba 0.9285 0.8569 0.1113  7 Pb 3.67-4.06, 3 Sn 3.70-3.83
Ba 0.0715 0.1431 0.6113  7 Pb 3.67-4.06, 3 Sn 3.70-3.83
Ba 0.6596 0.3192 0.2500  5 Pb 3.61-3.89, 4 Sn 3.69
Ba 0.3404 0.6808 0.7500  5 Pb 3.61-3.89, 4 Sn 3.69
Sn 0.7832 0.5663 0.8884  4 Pb 3.17-3.21
Sn 0.2168 0.4337 0.3884  4 Pb 3.17-3.21
Sn 0.7832 0.5663 0.6116  4 Pb 3.17-3.21
Sn 0.2168 0.4337 0.1116  4 Pb 3.17-3.21
Pb 0.6306 0.2611 0.4667  3 Sn 3.19-3.21, 1 Pb 3.55
Pb 0.3694 0.7389 0.9667  3 Sn 3.19-3.21, 1 Pb 3.55
Pb 0.6306 0.2611 0.0333  3 Sn 3.19-3.21, 1 Pb 3.55
Pb 0.3694 0.7389 0.5333  3 Sn 3.19-3.21, 1 Pb 3.55
Pb 0.3781 0.7561 0.2500  2 Sn 3.17
Pb 0.6219 0.2439 0.7500  2 Sn 3.17

Symmetry   Cmcm
E_tot   -57.692 eV/cell


Computed, not measured: a geometry-optimized Ba2Sn2Pb structure at the PBE level of DFT.

abc: 5.6115 5.6115 7.8729
angles: 69.12 69.12 90.00
With the nearest neighbours (Å) after each atom.
Sites, in units of the cell vectors:
Pb 0.0000 0.0000 0.0000  8 Sn 4.19, 8 Ba 4.41
Ba 0.7500 0.2500 0.5000  4 Sn 3.47
Ba 0.2500 0.7500 0.5000  4 Sn 3.47
Sn 0.4007 0.4007 0.1987  1 Sn 2.70
Sn 0.5993 0.5993 0.8013  1 Sn 2.70

Symmetry   I4/mmm
E_tot   -15.915 eV/cell


It is found that the density of states at the Fermi level values, taken in the order of the records, are 0.476 0.437 0.431 0.903 0.783 1.293 states/eV/atom.
It is found that the ΔH_f (0 K) values, taken in the order of the records, are -0.120 -0.294 -0.261 -0.395 -0.493 -0.071 eV/atom.